1.
# YPtSe2N, PBEsol geometry, DFT SCAN
# - formation energy from raw total energies (eV per formula unit) = -2.3
# - ρ (Mg/m³) = 7.7
# - Fermi-level density of states (states/eV per cell) = 1.50
data_YPtSe2N
_cell_length_a 5.1406
_cell_length_b 5.1406
_cell_length_c 3.7005
_cell_angle_alpha 90.00
_cell_angle_beta 90.00
_cell_angle_gamma 90.00
_symmetry_space_group_name_H-M 'P 4/m m m'
_symmetry_Int_Tables_number 123
_symmetry_space_group_name_Hall '-P 4 2'
loop_
_atom_site_label
_atom_site_fract_x
_atom_site_fract_y
_atom_site_fract_z
Y1 0.0000 0.0000 0.0000
Pt1 0.5000 0.5000 0.5000
Se1 0.0000 0.5000 0.5000
N1 0.5000 0.5000 0.0000



2.
# ZrPtSeN2, PBEsol geometry, DFT SCAN
# - formation energy from raw total energies (eV per formula unit) = 3.3
# - distance to the lowest polymorph of the same formula (eV/atom) = 0.000
# - ρ (Mg/m³) = 7.4
# - Fermi-level density of states (states/eV per cell) = 2.76
data_ZrPtSeN2
_cell_length_a 3.9611
_cell_length_b 3.9611
_cell_length_c 5.6250
_cell_angle_alpha 90.00
_cell_angle_beta 90.00
_cell_angle_gamma 90.00
_symmetry_space_group_name_H-M 'P 4/m m m'
_symmetry_Int_Tables_number 123
_symmetry_space_group_name_Hall '-P 4 2'
loop_
_atom_site_label
_atom_site_fract_x
_atom_site_fract_y
_atom_site_fract_z
Zr1 0.0000 0.0000 0.0000
Pt1 0.5000 0.5000 0.5000
Se1 0.0000 0.0000 0.5000
N1 0.0000 0.5000 0.0000



3.
# ZrPtSeN2, PBEsol geometry, DFT SCAN
# - formation energy from raw total energies (eV per formula unit) = 3.5
# - distance to the lowest polymorph of the same formula (eV/atom) = 0.045
# - ρ (Mg/m³) = 8.7
# - Fermi-level density of states (states/eV per cell) = 2.81
data_ZrPtSeN2
_cell_length_a 3.9067
_cell_length_b 3.9067
_cell_length_c 4.9221
_cell_angle_alpha 90.00
_cell_angle_beta 90.00
_cell_angle_gamma 90.00
_symmetry_space_group_name_H-M 'P 4/m m m'
_symmetry_Int_Tables_number 123
_symmetry_space_group_name_Hall '-P 4 2'
loop_
_atom_site_label
_atom_site_fract_x
_atom_site_fract_y
_atom_site_fract_z
Zr1 0.0000 0.0000 0.0000
Pt1 0.5000 0.5000 0.5000
Se1 0.5000 0.5000 0.0000
N1 0.0000 0.5000 0.5000



4.
# SiPt3N, PBEsol geometry, DFT SCAN
# - formation energy from raw total energies (eV per formula unit) = 3.6
# - distance to the lowest polymorph of the same formula (eV/atom) = 0.000
# - ρ (Mg/m³) = 14.6
# - Fermi-level density of states (states/eV per cell) = 6.27
data_SiPt3N
_cell_length_a 4.1500
_cell_length_b 4.1500
_cell_length_c 4.1500
_cell_angle_alpha 90.00
_cell_angle_beta 90.00
_cell_angle_gamma 90.00
_symmetry_space_group_name_H-M 'P m -3 m'
_symmetry_Int_Tables_number 221
_symmetry_space_group_name_Hall '-P 4 2 3'
loop_
_atom_site_label
_atom_site_fract_x
_atom_site_fract_y
_atom_site_fract_z
Si1 0.0000 0.0000 0.0000
Pt1 0.0000 0.5000 0.5000
N1 0.5000 0.5000 0.5000



5.
# SiSnPtN2, PBEsol geometry, DFT SCAN
# - formation energy from raw total energies (eV per formula unit) = 8.8
# - ρ (Mg/m³) = 6.7
# - Fermi-level density of states (states/eV per cell) = 2.92
data_SiSnPtN2
_cell_length_a 3.8472
_cell_length_b 3.8472
_cell_length_c 6.2068
_cell_angle_alpha 90.00
_cell_angle_beta 90.00
_cell_angle_gamma 90.00
_symmetry_space_group_name_H-M 'P 4/m m m'
_symmetry_Int_Tables_number 123
_symmetry_space_group_name_Hall '-P 4 2'
loop_
_atom_site_label
_atom_site_fract_x
_atom_site_fract_y
_atom_site_fract_z
Si1 0.0000 0.0000 0.0000
Sn1 0.0000 0.0000 0.5000
Pt1 0.5000 0.5000 0.0000
N1 0.0000 0.5000 0.5000



6.
# SnPtN2, PBEsol geometry, DFT SCAN
# - formation energy from raw total energies (eV per formula unit) = 6.3
# - ρ (Mg/m³) = 12.2
# - Fermi-level density of states (states/eV per cell) = 7.32
data_SnPtN2
_cell_length_a 5.7164
_cell_length_b 5.7164
_cell_length_c 5.7164
_cell_angle_alpha 90.00
_cell_angle_beta 90.00
_cell_angle_gamma 90.00
_symmetry_space_group_name_H-M 'F m -3 m'
_symmetry_Int_Tables_number 225
_symmetry_space_group_name_Hall '-F 4 2 3'
loop_
_atom_site_label
_atom_site_fract_x
_atom_site_fract_y
_atom_site_fract_z
Sn1 0.0000 0.0000 0.0000
Pt1 0.0000 0.0000 0.5000
N1 0.2500 0.2500 0.2500



7.
# PtWN2, PBEsol geometry, DFT SCAN
# - formation energy from raw total energies (eV per formula unit) = 1.1
# - ρ (Mg/m³) = 13.0
# - Fermi-level density of states (states/eV per cell) = 5.53
data_PtWN2
_cell_length_a 4.6517
_cell_length_b 4.6517
_cell_length_c 9.5930
_cell_angle_alpha 90.00
_cell_angle_beta 90.00
_cell_angle_gamma 90.00
_symmetry_space_group_name_H-M 'I -4 2 d'
_symmetry_Int_Tables_number 122
_symmetry_space_group_name_Hall 'I -4 2bw'
loop_
_atom_site_label
_atom_site_fract_x
_atom_site_fract_y
_atom_site_fract_z
Pt1 0.0000 0.0000 0.0000
W1 0.0000 0.0000 0.5000
N1 0.2020 0.2500 0.6250



8.
# Pt2W2N, PBEsol geometry, DFT SCAN
# - formation energy from raw total energies (eV per formula unit) = 6.3
# - ρ (Mg/m³) = 15.7
# - Fermi-level density of states (states/eV per cell) = 5.53
data_Pt2W2N
_cell_length_a 3.5369
_cell_length_b 3.5369
_cell_length_c 13.0551
_cell_angle_alpha 90.00
_cell_angle_beta 90.00
_cell_angle_gamma 90.00
_symmetry_space_group_name_H-M 'I 4/m m m'
_symmetry_Int_Tables_number 139
_symmetry_space_group_name_Hall '-I 4 2'
loop_
_atom_site_label
_atom_site_fract_x
_atom_site_fract_y
_atom_site_fract_z
Pt1 0.0000 0.0000 0.0985
W1 0.0000 0.5000 0.2500
N1 0.0000 0.0000 0.5000



9.
# Pt3WN, PBEsol geometry, DFT SCAN
# - formation energy from raw total energies (eV per formula unit) = 4.8
# - ρ (Mg/m³) = 18.4
# - Fermi-level density of states (states/eV per cell) = 4.86
data_Pt3WN
_cell_length_a 4.1336
_cell_length_b 4.1336
_cell_length_c 4.1336
_cell_angle_alpha 90.00
_cell_angle_beta 90.00
_cell_angle_gamma 90.00
_symmetry_space_group_name_H-M 'P m -3 m'
_symmetry_Int_Tables_number 221
_symmetry_space_group_name_Hall '-P 4 2 3'
loop_
_atom_site_label
_atom_site_fract_x
_atom_site_fract_y
_atom_site_fract_z
Pt1 0.0000 0.0000 0.5000
W1 0.5000 0.5000 0.5000
N1 0.0000 0.0000 0.0000



10.
# Y3PtN, PBEsol geometry, DFT SCAN
# - formation energy from raw total energies (eV per formula unit) = -6.5
# - ρ (Mg/m³) = 7.9
# - Fermi-level density of states (states/eV per cell) = 5.05
data_Y3PtN
_cell_length_a 4.6468
_cell_length_b 4.6468
_cell_length_c 4.6468
_cell_angle_alpha 90.00
_cell_angle_beta 90.00
_cell_angle_gamma 90.00
_symmetry_space_group_name_H-M 'P m -3 m'
_symmetry_Int_Tables_number 221
_symmetry_space_group_name_Hall '-P 4 2 3'
loop_
_atom_site_label
_atom_site_fract_x
_atom_site_fract_y
_atom_site_fract_z
Y1 0.0000 0.0000 0.5000
Pt1 0.5000 0.5000 0.5000
N1 0.0000 0.0000 0.0000



11.
# ZnPtN3, PBEsol geometry, DFT SCAN
# - formation energy from raw total energies (eV per formula unit) = 11.8
# - ρ (Mg/m³) = 9.4
# - Fermi-level density of states (states/eV per cell) = 3.28
data_ZnPtN3
_cell_length_a 3.7702
_cell_length_b 3.7702
_cell_length_c 3.7702
_cell_angle_alpha 90.00
_cell_angle_beta 90.00
_cell_angle_gamma 90.00
_symmetry_space_group_name_H-M 'P m -3 m'
_symmetry_Int_Tables_number 221
_symmetry_space_group_name_Hall '-P 4 2 3'
loop_
_atom_site_label
_atom_site_fract_x
_atom_site_fract_y
_atom_site_fract_z
Zn1 0.0000 0.0000 0.0000
Pt1 0.5000 0.5000 0.5000
N1 0.0000 0.0000 0.5000



12.
# ZrPtN3, PBEsol geometry, DFT SCAN
# - formation energy from raw total energies (eV per formula unit) = 6.3
# - ρ (Mg/m³) = 7.7
# - Fermi-level density of states (states/eV per cell) = 3.36
data_ZrPtN3
_cell_length_a 4.1358
_cell_length_b 4.1358
_cell_length_c 4.1358
_cell_angle_alpha 90.00
_cell_angle_beta 90.00
_cell_angle_gamma 90.00
_symmetry_space_group_name_H-M 'P m -3 m'
_symmetry_Int_Tables_number 221
_symmetry_space_group_name_Hall '-P 4 2 3'
loop_
_atom_site_label
_atom_site_fract_x
_atom_site_fract_y
_atom_site_fract_z
Zr1 0.0000 0.0000 0.0000
Pt1 0.5000 0.5000 0.5000
N1 0.0000 0.0000 0.5000



13.
# PuN, PBEsol geometry, DFT SCAN
# - formation energy from raw total energies (eV per formula unit) = -2.4
# - ρ (Mg/m³) = 15.1
# - Fermi-level density of states (states/eV per cell) = 22.21
data_PuN
_cell_length_a 4.8420
_cell_length_b 4.8420
_cell_length_c 4.8420
_cell_angle_alpha 90.00
_cell_angle_beta 90.00
_cell_angle_gamma 90.00
_symmetry_space_group_name_H-M 'F m -3 m'
_symmetry_Int_Tables_number 225
_symmetry_space_group_name_Hall '-F 4 2 3'
loop_
_atom_site_label
_atom_site_fract_x
_atom_site_fract_y
_atom_site_fract_z
Pu1 0.0000 0.0000 0.0000
N1 0.0000 0.0000 0.5000



14.
# Rb3ReN, PBEsol geometry, DFT SCAN
# - formation energy from raw total energies (eV per formula unit) = 8.1
# - distance to the lowest polymorph of the same formula (eV/atom) = 0.000
# - ρ (Mg/m³) = 4.3
# - Fermi-level density of states (states/eV per cell) = 4.65
data_Rb3ReN
_cell_length_a 5.6211
_cell_length_b 5.6211
_cell_length_c 5.6211
_cell_angle_alpha 90.00
_cell_angle_beta 90.00
_cell_angle_gamma 90.00
_symmetry_space_group_name_H-M 'P m -3 m'
_symmetry_Int_Tables_number 221
_symmetry_space_group_name_Hall '-P 4 2 3'
loop_
_atom_site_label
_atom_site_fract_x
_atom_site_fract_y
_atom_site_fract_z
Rb1 0.0000 0.0000 0.5000
Re1 0.5000 0.5000 0.5000
N1 0.0000 0.0000 0.0000